Here is a relaxed structure of Pm5GaBi2 from Alexandria. Energies are from PBE.

The density of states at the Fermi level is 10.079 states/eV/f.u. Its spin magnetization is 0.0 μB/f.u. The calculation puts the total DFT energy (no corrections) at -4.972 eV per atom.

It has space group Pbam (No. 55), with a = 8.351 Å, b = 12.605 Å, c = 4.708 Å, α = 90.00°, β = 90.00° and γ = 90.00°. Symmetry generates all atoms from Pm at (0.000, 0.000, 0.000), Pm at (0.148, 0.290, 0.000), Pm at (0.196, 0.562, 0.500), Ga at (0.000, 0.500, 0.000) and Bi at (0.078, 0.825, 0.500).